No. 1
GeBiAuS2 PBEsol optimized geometry; E_form (uncorrected) = 743 meV per atom; space-group type = P4/mmm, No. 123; mass density = 6.42 g/cm3
1.0
5.2014 0.0000 0.0000
0.0000 5.2014 0.0000
0.0000 0.0000 5.1893
Ge Bi Au S
1 1 1 2
Cartesian
0.0000 0.0000 0.0000
2.6007 2.6007 2.5946
2.6007 2.6007 0.0000
0.0000 2.6007 2.5946
2.6007 0.0000 2.5946

=====

No. 2
Bi2HAu2 PBEsol optimized geometry; space-group type = P4/mbm, No. 127; mass density = 12.72 g/cm3
1.0
6.8434 0.0000 0.0000
0.0000 6.8434 0.0000
0.0000 0.0000 4.5333
Bi H Au
4 2 4
Cartesian
1.2687 2.1530 0.0000
2.1530 5.5747 0.0000
4.6904 1.2687 0.0000
5.5747 4.6904 0.0000
0.0000 0.0000 0.0000
3.4217 3.4217 0.0000
0.9591 4.3808 2.2666
2.4626 0.9591 2.2666
4.3808 5.8843 2.2666
5.8843 2.4626 2.2666

=====

No. 3
HfBi3Au PBEsol optimized geometry; E_form = 827 meV per atom; space-group type = Pm-3m, No. 221; mass density = 10.70 g/cm3
1.0
5.3778 0.0000 0.0000
0.0000 5.3778 0.0000
0.0000 0.0000 5.3778
Hf Bi Au
1 3 1
Cartesian
0.0000 0.0000 0.0000
0.0000 2.6889 2.6889
2.6889 0.0000 2.6889
2.6889 2.6889 0.0000
2.6889 2.6889 2.6889

=====

No. 4
Hf2TlBiAu PBEsol optimized geometry; E_form = 576 meV per atom; space-group type = P4/mmm, No. 123; mass density = 11.79 g/cm3
1.0
5.1904 0.0000 0.0000
0.0000 5.1904 0.0000
0.0000 0.0000 5.0557
Hf Tl Bi Au
2 1 1 1
Cartesian
0.0000 2.5952 0.0000
2.5952 0.0000 0.0000
0.0000 0.0000 2.5279
2.5952 2.5952 2.5279
0.0000 0.0000 0.0000

=====

No. 5
HgBi2Au2 PBEsol optimized geometry; E_form = 12 meV per atom; space-group type = P4/mbm, No. 127; mass density = 14.37 g/cm3
1.0
7.4601 0.0000 0.0000
0.0000 7.4601 0.0000
0.0000 0.0000 4.2041
Hg Bi Au
2 4 4
Cartesian
0.0000 0.0000 0.0000
3.7301 3.7301 0.0000
1.2783 2.4517 2.1021
2.4517 6.1818 2.1021
5.0084 1.2783 2.1021
6.1818 5.0084 2.1021
0.9869 4.7169 0.0000
2.7432 0.9869 0.0000
4.7169 6.4733 0.0000
6.4733 2.7432 0.0000

=====

No. 6
HgBi2Au2 PBEsol optimized geometry; E_form = 42 meV per atom; space-group type = I4/mmm, No. 139; mass density = 13.68 g/cm3
1.0
-1.9211 1.9211 8.3262
1.9211 -1.9211 8.3262
1.9211 1.9211 -8.3262
Hg Bi Au
1 2 2
Cartesian
0.0000 0.0000 0.0000
0.0000 0.0000 6.4689
0.0000 0.0000 10.1836
1.9211 0.0000 4.1631
0.0000 1.9211 4.1631

=====

No. 7
NbHgBiAu2 PBEsol optimized geometry; E_form = 1235 meV per atom; space-group type = P4/mmm, No. 123; mass density = 9.92 g/cm3
1.0
5.2188 0.0000 0.0000
0.0000 5.2188 0.0000
0.0000 0.0000 5.5095
Nb Hg Bi Au
1 1 1 2
Cartesian
0.0000 0.0000 0.0000
2.6094 2.6094 0.0000
0.0000 0.0000 2.7547
0.0000 2.6094 2.7547
2.6094 0.0000 2.7547

=====

No. 8
Bi2AuI PBEsol optimized geometry; E_form (uncorrected) = 70 meV per atom; space-group type = I-42d, No. 122; mass density = 10.35 g/cm3
1.0
-4.4995 4.4995 2.9396
4.4995 -4.4995 2.9396
4.4995 4.4995 -2.9396
Bi Au I
4 2 2
Cartesian
6.7492 1.5431 -0.7349
1.5431 2.2497 0.7349
-2.2497 2.9563 2.2047
2.9563 2.2497 3.6745
0.0000 0.0000 0.0000
0.0000 4.4995 1.4698
4.4995 0.0000 1.4698
0.0000 0.0000 2.9396

=====

no.,raw total energy (Ry per atom)
1,-0.2676
2,-0.2691
3,-0.3403
4,-0.4258
5,-0.2488
6,-0.2466
7,-0.2550
8,-0.2569